NaSr2Ca2 (PBE, optimized geometry); energy above the most stable polymorph in this dataset = 0.1949 eV/atom; formation energy = 0.21 eV/atom
1.0
-2.4272 2.4272 10.7004
2.4272 -2.4272 10.7004
2.4272 2.4272 -10.7004
Na Sr Ca
1 2 2
Direct
0.0000 0.0000 0.0000
0.4018 0.4018 0.0000
0.5982 0.5982 0.0000
0.2500 0.7500 0.5000
0.7500 0.2500 0.5000